# PBE-GGA TaBe2Ir, relaxed
data_TaBe2Ir
_chemical_formula_sum 'Ta1 Be2 Ir1'
_cell_length_a 3.670
_cell_length_b 3.737
_cell_length_c 3.737
_cell_angle_alpha 90.00
_cell_angle_beta 90.00
_cell_angle_gamma 90.00
_symmetry_space_group_name_H-M 'P 1'
_symmetry_Int_Tables_number 1
loop_
_symmetry_equiv_pos_as_xyz
'x,y,z'
loop_
_atom_site_label
_atom_site_type_symbol
_atom_site_fract_x
_atom_site_fract_y
_atom_site_fract_z
Be1 Be 0.000 0.000 0.000
Be2 Be 0.000 0.500 0.500
Ta1 Ta 0.500 0.000 0.500
Ir1 Ir 0.500 0.500 0.000
# - Fermi-level density of states (states/eV/f.u.) = 2.16
# - calculated formation energy (eV/atom) = -0.17
# - ρ (Mg/m³) = 12.7

***

# PBE-GGA Co2HgGe, relaxed
data_Co2HgGe
_chemical_formula_sum 'Co2 Hg1 Ge1'
_cell_length_a 4.299
_cell_length_b 4.299
_cell_length_c 4.299
_cell_angle_alpha 60.00
_cell_angle_beta 60.00
_cell_angle_gamma 60.00
_symmetry_space_group_name_H-M 'P 1'
_symmetry_Int_Tables_number 1
loop_
_symmetry_equiv_pos_as_xyz
'x,y,z'
loop_
_atom_site_label
_atom_site_type_symbol
_atom_site_fract_x
_atom_site_fract_y
_atom_site_fract_z
Hg1 Hg 0.500 0.500 0.500
Co1 Co 0.250 0.250 0.250
Co2 Co 0.750 0.750 0.750
Ge1 Ge 0.000 0.000 0.000
# - Fermi-level density of states (states/eV/f.u.) = 3.20
# - calculated formation energy (eV/atom) = 0.32
# - excess energy over the best structure of this formula in the dataset (meV/atom) = 0
# - ρ (Mg/m³) = 11.6

***

# PBE-GGA Er2CoPt, relaxed
data_Er2CoPt
_chemical_formula_sum 'Er2 Co1 Pt1'
_cell_length_a 3.375
_cell_length_b 3.375
_cell_length_c 6.802
_cell_angle_alpha 90.00
_cell_angle_beta 90.00
_cell_angle_gamma 90.00
_symmetry_space_group_name_H-M 'P 1'
_symmetry_Int_Tables_number 1
loop_
_symmetry_equiv_pos_as_xyz
'x,y,z'
loop_
_atom_site_label
_atom_site_type_symbol
_atom_site_fract_x
_atom_site_fract_y
_atom_site_fract_z
Er1 Er 0.000 0.000 0.760
Er2 Er 0.000 0.000 0.240
Pt1 Pt 0.500 0.500 0.500
Co1 Co 0.500 0.500 0.000
# - Fermi-level density of states (states/eV/f.u.) = 1.48
# - calculated formation energy (eV/atom) = -0.74
# - ρ (Mg/m³) = 12.6

***

# PBE-GGA Y2FePb, relaxed
data_Y2FePb
_chemical_formula_sum 'Y2 Fe1 Pb1'
_cell_length_a 3.497
_cell_length_b 3.497
_cell_length_c 7.907
_cell_angle_alpha 90.00
_cell_angle_beta 90.00
_cell_angle_gamma 90.00
_symmetry_space_group_name_H-M 'P 1'
_symmetry_Int_Tables_number 1
loop_
_symmetry_equiv_pos_as_xyz
'x,y,z'
loop_
_atom_site_label
_atom_site_type_symbol
_atom_site_fract_x
_atom_site_fract_y
_atom_site_fract_z
Y1 Y 0.000 0.000 0.457
Y2 Y 0.000 0.000 0.043
Fe1 Fe 0.500 0.500 0.250
Pb1 Pb 0.500 0.500 0.750
# - Fermi-level density of states (states/eV/f.u.) = 3.17
# - calculated formation energy (eV/atom) = -0.17
# - ρ (Mg/m³) = 7.6

***

# PBE-GGA AcSn12Au4, relaxed
data_AcSn12Au4
_chemical_formula_sum 'Ac1 Sn12 Au4'
_cell_length_a 8.415
_cell_length_b 8.415
_cell_length_c 8.415
_cell_angle_alpha 109.47
_cell_angle_beta 109.47
_cell_angle_gamma 109.47
_symmetry_space_group_name_H-M 'P 1'
_symmetry_Int_Tables_number 1
loop_
_symmetry_equiv_pos_as_xyz
'x,y,z'
loop_
_atom_site_label
_atom_site_type_symbol
_atom_site_fract_x
_atom_site_fract_y
_atom_site_fract_z
Sn1 Sn 0.349 0.194 0.845
Sn2 Sn 0.806 0.155 0.651
Sn3 Sn 0.651 0.806 0.155
Sn4 Sn 0.155 0.651 0.806
Sn5 Sn 0.194 0.845 0.349
Sn6 Sn 0.155 0.349 0.504
Sn7 Sn 0.496 0.845 0.651
Sn8 Sn 0.845 0.651 0.496
Sn9 Sn 0.845 0.349 0.194
Sn10 Sn 0.504 0.155 0.349
Sn11 Sn 0.349 0.504 0.155
Sn12 Sn 0.651 0.496 0.845
Au1 Au 0.500 0.500 0.500
Au2 Au 0.500 0.000 0.000
Au3 Au 0.000 0.000 0.500
Au4 Au 0.000 0.500 0.000
Ac1 Ac 0.000 0.000 0.000
# - Fermi-level density of states (states/eV/f.u.) = 6.05
# - calculated formation energy (eV/atom) = -0.22
# - ρ (Mg/m³) = 8.8

***

# PBE-GGA Pr3SmEr3Te8, relaxed
data_Pr3SmEr3Te8
_chemical_formula_sum 'Pr3 Sm1 Er3 Te8'
_cell_length_a 8.794
_cell_length_b 8.794
_cell_length_c 8.847
_cell_angle_alpha 119.80
_cell_angle_beta 90.00
_cell_angle_gamma 120.00
_symmetry_space_group_name_H-M 'P 1'
_symmetry_Int_Tables_number 1
loop_
_symmetry_equiv_pos_as_xyz
'x,y,z'
loop_
_atom_site_label
_atom_site_type_symbol
_atom_site_fract_x
_atom_site_fract_y
_atom_site_fract_z
Pr1 Pr 0.000 0.500 0.000
Pr2 Pr 0.500 0.500 0.000
Pr3 Pr 0.000 0.000 0.000
Te1 Te 0.256 0.513 0.745
Te2 Te 0.744 0.011 0.255
Te3 Te 0.744 0.487 0.255
Te4 Te 0.744 0.489 0.733
Te5 Te 0.256 0.511 0.267
Te6 Te 0.256 0.989 0.745
Te7 Te 0.732 0.989 0.745
Te8 Te 0.268 0.011 0.255
Er1 Er 0.500 0.000 0.500
Er2 Er 0.500 0.500 0.500
Er3 Er 0.000 0.500 0.500
Sm1 Sm 0.000 0.000 0.500
# - Fermi-level density of states (states/eV/f.u.) = 6.97
# - ρ (Mg/m³) = 7.2
# - formation energy from raw total energies (eV per formula unit) = -21.00

***

# PBE-GGA Sr3In9Au2, relaxed
data_Sr3In9Au2
_chemical_formula_sum 'Sr3 In9 Au2'
_cell_length_a 4.900
_cell_length_b 9.210
_cell_length_c 9.210
_cell_angle_alpha 74.70
_cell_angle_beta 74.57
_cell_angle_gamma 74.57
_symmetry_space_group_name_H-M 'P 1'
_symmetry_Int_Tables_number 1
loop_
_symmetry_equiv_pos_as_xyz
'x,y,z'
loop_
_atom_site_label
_atom_site_type_symbol
_atom_site_fract_x
_atom_site_fract_y
_atom_site_fract_z
In1 In 0.137 0.145 0.582
In2 In 0.653 0.714 0.980
In3 In 0.000 0.500 0.500
In4 In 0.137 0.582 0.145
In5 In 0.863 0.855 0.418
In6 In 0.653 0.980 0.714
In7 In 0.347 0.020 0.286
In8 In 0.347 0.286 0.020
In9 In 0.863 0.418 0.855
Sr1 Sr 0.692 0.308 0.308
Sr2 Sr 0.308 0.692 0.692
Sr3 Sr 0.000 0.000 0.000
Au1 Au 0.500 0.686 0.314
Au2 Au 0.500 0.314 0.686
# - Fermi-level density of states (states/eV/f.u.) = 4.41
# - calculated formation energy (eV/atom) = -0.38
# - ρ (Mg/m³) = 7.4

***

# PBE-GGA Pr3Sm3Tl2, relaxed
data_Pr3Sm3Tl2
_chemical_formula_sum 'Pr3 Sm3 Tl2'
_cell_length_a 4.955
_cell_length_b 4.987
_cell_length_c 10.039
_cell_angle_alpha 90.00
_cell_angle_beta 90.00
_cell_angle_gamma 90.00
_symmetry_space_group_name_H-M 'P 1'
_symmetry_Int_Tables_number 1
loop_
_symmetry_equiv_pos_as_xyz
'x,y,z'
loop_
_atom_site_label
_atom_site_type_symbol
_atom_site_fract_x
_atom_site_fract_y
_atom_site_fract_z
Pr1 Pr 0.000 0.500 0.500
Pr2 Pr 0.000 0.500 0.000
Pr3 Pr 0.500 0.000 0.500
Sm1 Sm 0.500 0.500 0.249
Sm2 Sm 0.500 0.000 0.000
Sm3 Sm 0.500 0.500 0.751
Tl1 Tl 0.000 0.000 0.753
Tl2 Tl 0.000 0.000 0.247
# - Fermi-level density of states (states/eV/f.u.) = 13.69
# - calculated formation energy (eV/atom) = -0.20
# - excess energy over the best structure of this formula in the dataset (meV/atom) = 0
# - ρ (Mg/m³) = 8.6

***

Please write out number 2 again, unchanged.
# PBE-GGA Co2HgGe, relaxed
data_Co2HgGe
_chemical_formula_sum 'Co2 Hg1 Ge1'
_cell_length_a 4.299
_cell_length_b 4.299
_cell_length_c 4.299
_cell_angle_alpha 60.00
_cell_angle_beta 60.00
_cell_angle_gamma 60.00
_symmetry_space_group_name_H-M 'P 1'
_symmetry_Int_Tables_number 1
loop_
_symmetry_equiv_pos_as_xyz
'x,y,z'
loop_
_atom_site_label
_atom_site_type_symbol
_atom_site_fract_x
_atom_site_fract_y
_atom_site_fract_z
Hg1 Hg 0.500 0.500 0.500
Co1 Co 0.250 0.250 0.250
Co2 Co 0.750 0.750 0.750
Ge1 Ge 0.000 0.000 0.000
# - Fermi-level density of states (states/eV/f.u.) = 3.20
# - calculated formation energy (eV/atom) = 0.32
# - excess energy over the best structure of this formula in the dataset (meV/atom) = 0
# - ρ (Mg/m³) = 11.6

***

Fermi-level density of states of number 3 (Er2CoPt)?
1.48 states/eV/f.u.

***

Repeat the fourth record exactly.
# PBE-GGA Y2FePb, relaxed
data_Y2FePb
_chemical_formula_sum 'Y2 Fe1 Pb1'
_cell_length_a 3.497
_cell_length_b 3.497
_cell_length_c 7.907
_cell_angle_alpha 90.00
_cell_angle_beta 90.00
_cell_angle_gamma 90.00
_symmetry_space_group_name_H-M 'P 1'
_symmetry_Int_Tables_number 1
loop_
_symmetry_equiv_pos_as_xyz
'x,y,z'
loop_
_atom_site_label
_atom_site_type_symbol
_atom_site_fract_x
_atom_site_fract_y
_atom_site_fract_z
Y1 Y 0.000 0.000 0.457
Y2 Y 0.000 0.000 0.043
Fe1 Fe 0.500 0.500 0.250
Pb1 Pb 0.500 0.500 0.750
# - Fermi-level density of states (states/eV/f.u.) = 3.17
# - calculated formation energy (eV/atom) = -0.17
# - ρ (Mg/m³) = 7.6

***

What is the formula in the fourth record?
Y2FePb